VASP calculation (PBEsol) on a geometry-optimized InCo2Os structure.

Computed properties:
**ρ**: 13033 kg/m³
**Energy of formation**: 1.29 eV per formula unit
**Total moment**: 2.63 μB per formula unit

a b c (Å): 2.862 2.862 6.580
angles (deg): 90.00 90.00 90.00
Sites, in units of the cell vectors:
In1 0.000 0.000 0.000
Co1 0.000 0.000 0.530
Co2 0.500 0.500 0.730
Os1 0.500 0.500 0.313